(1)
The following is a DFT calculation (PBE) of an optimized crystal structure of Cs2GeI3.

Properties
Energy relative to the elements, uncorrected (eV per atom): -0.853

```
data_Cs2GeI3
_cell_length_a 14.9711
_cell_length_b 7.6124
_cell_length_c 11.6005
_cell_angle_alpha 90.00
_cell_angle_beta 106.91
_cell_angle_gamma 90.00
_symmetry_space_group_name_H-M 'C 1 2/c 1'
_symmetry_Int_Tables_number 15
loop_
_symmetry_equiv_pos_as_xyz
'x,y,z'
'-x,-y,-z'
'-x,y,-z+1/2'
'x,-y,z+1/2'
'x+1/2,y+1/2,z'
'-x+1/2,-y+1/2,-z'
'-x+1/2,y+1/2,-z+1/2'
'x+1/2,-y+1/2,z+1/2'
loop_
_atom_site_label
_atom_site_fract_x
_atom_site_fract_y
_atom_site_fract_z
Cs1 0.1822 0.0121 0.0758
Ge1 0.0000 0.4389 0.7500
I1 0.0000 0.0691 0.7500
I2 0.1403 0.4865 0.6097
```

---

(2)
The following is a DFT calculation (PBE) of an optimized crystal structure of KSb2Se.

Properties
Energy relative to the elements, uncorrected (eV per atom): 0.271
Polymorph energy (0 for the lowest one) (meV/atom): 628.3

```
data_KSb2Se
_cell_length_a 7.7138
_cell_length_b 7.7138
_cell_length_c 7.7138
_cell_angle_alpha 90.00
_cell_angle_beta 90.00
_cell_angle_gamma 90.00
_symmetry_space_group_name_H-M 'F m -3 m'
_symmetry_Int_Tables_number 225
_symmetry_space_group_name_Hall '-F 4 2 3'
loop_
_atom_site_label
_atom_site_fract_x
_atom_site_fract_y
_atom_site_fract_z
K1 0.0000 0.0000 0.0000
Sb1 0.2500 0.2500 0.2500
Se1 0.0000 0.0000 0.5000
```

---

(3)
The following is a DFT calculation (PBE) of an optimized crystal structure of Cs2Cd2Br5.

Properties
Energy relative to the elements, uncorrected (eV per atom): -1.163
Polymorph energy (0 for the lowest one) (meV/atom): 16.9

```
data_Cs2Cd2Br5
_cell_length_a 15.6624
_cell_length_b 5.8613
_cell_length_c 8.6505
_cell_angle_alpha 90.00
_cell_angle_beta 110.26
_cell_angle_gamma 90.00
_symmetry_space_group_name_H-M 'C 1 2/m 1'
_symmetry_Int_Tables_number 12
loop_
_symmetry_equiv_pos_as_xyz
'x,y,z'
'-x,-y,-z'
'-x,y,-z'
'x,-y,z'
'x+1/2,y+1/2,z'
'-x+1/2,-y+1/2,-z'
'-x+1/2,y+1/2,-z'
'x+1/2,-y+1/2,z'
loop_
_atom_site_label
_atom_site_fract_x
_atom_site_fract_y
_atom_site_fract_z
Cs1 0.1022 0.0000 0.3078
Cd1 0.1498 0.5000 0.8850
Br1 0.0000 0.5000 0.0000
Br2 0.1493 0.5000 0.5712
Br3 0.1563 0.0000 0.9194
```

---

(4)
The following is a DFT calculation (PBE) of an optimized crystal structure of CaSm2Hg9.

Properties
DFT formation energy (eV per formula unit): -4.3

```
data_CaSm2Hg9
_cell_length_a 4.7062
_cell_length_b 4.7062
_cell_length_c 13.7909
_cell_angle_alpha 90.00
_cell_angle_beta 90.00
_cell_angle_gamma 90.00
_symmetry_space_group_name_H-M 'P 4/m m m'
_symmetry_Int_Tables_number 123
_symmetry_space_group_name_Hall '-P 4 2'
loop_
_atom_site_label
_atom_site_fract_x
_atom_site_fract_y
_atom_site_fract_z
Ca1 0.0000 0.0000 0.0000
Sm1 0.0000 0.0000 0.3318
Hg1 0.0000 0.5000 0.1685
Hg2 0.0000 0.5000 0.5000
Hg3 0.5000 0.5000 0.0000
Hg4 0.5000 0.5000 0.3358
```

---

(5)
The following is a DFT calculation (PBE) of an optimized crystal structure of PrNp2Se4.

Properties
Energy relative to the elements, uncorrected (eV per atom): -1.325
Polymorph energy (0 for the lowest one) (meV/atom): 35.5

```
data_PrNp2Se4
_cell_length_a 8.3443
_cell_length_b 8.3802
_cell_length_c 11.7557
_cell_angle_alpha 90.00
_cell_angle_beta 90.00
_cell_angle_gamma 90.00
_symmetry_space_group_name_H-M 'I m m a'
_symmetry_Int_Tables_number 74
_symmetry_space_group_name_Hall '-I 2b 2'
loop_
_atom_site_label
_atom_site_fract_x
_atom_site_fract_y
_atom_site_fract_z
Pr1 0.0000 0.0000 0.0000
Np1 0.0000 0.0000 0.5000
Np2 0.2500 0.2500 0.2500
Se1 0.0000 0.0115 0.2530
Se2 0.2421 0.2500 0.5020
```

---

(6)
The following is a DFT calculation (PBE) of an optimized crystal structure of Li3CuF.

Properties
Energy relative to the elements, uncorrected (eV per atom): -0.284
Polymorph energy (0 for the lowest one) (meV/atom): 734.7

```
data_Li3CuF
_cell_length_a 4.6516
_cell_length_b 4.6516
_cell_length_c 4.6516
_cell_angle_alpha 90.00
_cell_angle_beta 90.00
_cell_angle_gamma 90.00
_symmetry_space_group_name_H-M 'P m -3 m'
_symmetry_Int_Tables_number 221
_symmetry_space_group_name_Hall '-P 4 2 3'
loop_
_atom_site_label
_atom_site_fract_x
_atom_site_fract_y
_atom_site_fract_z
Li1 0.0000 0.0000 0.5000
Cu1 0.0000 0.0000 0.0000
F1 0.5000 0.5000 0.5000
```

---

(7)
The following is a DFT calculation (PBE) of an optimized crystal structure of CePu2Cl6.

Properties
Energy relative to the elements, uncorrected (eV per atom): -1.787
Polymorph energy (0 for the lowest one) (meV/atom): 34.1

```
data_CePu2Cl6
_cell_length_a 7.0292
_cell_length_b 7.0292
_cell_length_c 11.4006
_cell_angle_alpha 90.00
_cell_angle_beta 90.00
_cell_angle_gamma 90.00
_symmetry_space_group_name_H-M 'P 42/m n m'
_symmetry_Int_Tables_number 136
_symmetry_space_group_name_Hall '-P 4n 2n'
loop_
_atom_site_label
_atom_site_fract_x
_atom_site_fract_y
_atom_site_fract_z
Ce1 0.0000 0.0000 0.0000
Pu1 0.0000 0.0000 0.3333
Cl1 0.2143 0.2143 0.1677
Cl2 0.2136 0.2136 0.5000
```

---

(8)
The following is a DFT calculation (PBE) of an optimized crystal structure of Ru2PtW.

Properties
DFT formation energy (eV per formula unit): 1.4
Polymorph energy (0 for the lowest one) (meV/atom): 513.2

```
data_Ru2PtW
_cell_length_a 6.2462
_cell_length_b 6.2462
_cell_length_c 6.2462
_cell_angle_alpha 90.00
_cell_angle_beta 90.00
_cell_angle_gamma 90.00
_symmetry_space_group_name_H-M 'F -4 3 m'
_symmetry_Int_Tables_number 216
_symmetry_space_group_name_Hall 'F -4 2 3'
loop_
_atom_site_label
_atom_site_fract_x
_atom_site_fract_y
_atom_site_fract_z
Ru1 0.0000 0.0000 0.0000
Ru2 0.2500 0.2500 0.2500
Pt1 0.2500 0.2500 0.7500
W1 0.0000 0.0000 0.5000
```

---

(9)
The following is a DFT calculation (PBE) of an optimized crystal structure of YHo5ErTm2.

Properties
DFT formation energy (eV per formula unit): 1.5

```
data_YHo5ErTm2
_cell_length_a 5.5485
_cell_length_b 19.7254
_cell_length_c 10.4753
_cell_angle_alpha 90.00
_cell_angle_beta 90.00
_cell_angle_gamma 90.00
_symmetry_space_group_name_H-M 'C m c 21'
_symmetry_Int_Tables_number 36
loop_
_symmetry_equiv_pos_as_xyz
'x,y,z'
'-x,-y,z+1/2'
'-x,y,z'
'x,-y,z+1/2'
'x+1/2,y+1/2,z'
'-x+1/2,-y+1/2,z+1/2'
'-x+1/2,y+1/2,z'
'x+1/2,-y+1/2,z+1/2'
loop_
_atom_site_label
_atom_site_fract_x
_atom_site_fract_y
_atom_site_fract_z
Y1 0.0000 0.0874 0.0000
Ho1 0.0000 0.0212 0.2835
Ho2 0.0000 0.1112 0.5682
Ho3 0.0000 0.2001 0.2540
Ho4 0.0000 0.2194 0.8543
Ho5 0.0000 0.4822 0.5683
Er1 0.0000 0.3006 0.5566
Tm1 0.0000 0.3870 0.8608
Tm2 0.0000 0.3899 0.2828
```

---

(10)
The following is a DFT calculation (PBE) of an optimized crystal structure of KCu3Ge.

Properties
DFT formation energy (eV per formula unit): 1.2
Polymorph energy (0 for the lowest one) (meV/atom): 0.0

```
data_KCu3Ge
_cell_length_a 4.7181
_cell_length_b 4.7181
_cell_length_c 4.7181
_cell_angle_alpha 90.00
_cell_angle_beta 90.00
_cell_angle_gamma 90.00
_symmetry_space_group_name_H-M 'P m -3 m'
_symmetry_Int_Tables_number 221
_symmetry_space_group_name_Hall '-P 4 2 3'
loop_
_atom_site_label
_atom_site_fract_x
_atom_site_fract_y
_atom_site_fract_z
K1 0.0000 0.0000 0.0000
Cu1 0.0000 0.5000 0.5000
Ge1 0.5000 0.5000 0.5000
```

---

(11)
The following is a DFT calculation (PBE) of an optimized crystal structure of RhWBr2.

Properties
Energy relative to the elements, uncorrected (eV per atom): 0.709
Polymorph energy (0 for the lowest one) (meV/atom): 636.7

```
data_RhWBr2
_cell_length_a 3.1566
_cell_length_b 3.1566
_cell_length_c 26.1960
_cell_angle_alpha 90.00
_cell_angle_beta 90.00
_cell_angle_gamma 120.00
_symmetry_space_group_name_H-M 'R -3 m'
_symmetry_Int_Tables_number 166
_symmetry_space_group_name_Hall '-R 3 2"'
loop_
_atom_site_label
_atom_site_fract_x
_atom_site_fract_y
_atom_site_fract_z
Rh1 0.0000 0.0000 0.0000
W1 0.0000 0.0000 0.5000
Br1 0.0000 0.0000 0.0933
```

---

(12)
The following is a DFT calculation (PBE) of an optimized crystal structure of K2TiAgCl.

Properties
Energy relative to the elements, uncorrected (eV per atom): 0.330

```
data_K2TiAgCl
_cell_length_a 6.8247
_cell_length_b 6.8247
_cell_length_c 5.1072
_cell_angle_alpha 90.00
_cell_angle_beta 90.00
_cell_angle_gamma 90.00
_symmetry_space_group_name_H-M 'P 4/m m m'
_symmetry_Int_Tables_number 123
_symmetry_space_group_name_Hall '-P 4 2'
loop_
_atom_site_label
_atom_site_fract_x
_atom_site_fract_y
_atom_site_fract_z
K1 0.0000 0.5000 0.0000
Ti1 0.0000 0.0000 0.0000
Ag1 0.0000 0.0000 0.5000
Cl1 0.5000 0.5000 0.5000
```